Record 1
Computed, not measured: crystalline KNdCoSe3 at its relaxed geometry at the GGA-PBE level of DFT.

Cell lengths 11.223, 4.170, 14.580 Å; angles 90.00, 90.00, 90.00 degrees
Last column: magnetic moment on the atom in μB.
Element x y z (fractional)
Se: 0.945 0.250 0.872  0.12
Se: 0.399 0.750 0.114  0.12
Co: 0.734 0.750 0.282  2.17
K: 0.281 0.750 0.494  0.00
Se: 0.555 0.750 0.372  0.12
Se: 0.101 0.250 0.614  0.12
Se: 0.738 0.250 0.186  0.15
Se: 0.238 0.250 0.314  0.15
Nd: 0.016 0.750 0.740  0.02
Co: 0.266 0.250 0.718  2.17
Se: 0.762 0.750 0.686  0.15
K: 0.219 0.250 0.994  0.00
Nd: 0.984 0.250 0.260  0.02
Se: 0.262 0.750 0.814  0.15
K: 0.781 0.750 0.006  0.00
Se: 0.445 0.250 0.628  0.12
Se: 0.899 0.750 0.386  0.12
Se: 0.055 0.750 0.128  0.12
Co: 0.234 0.750 0.218  2.17
Nd: 0.484 0.250 0.240  0.02
Nd: 0.516 0.750 0.760  0.02
K: 0.719 0.250 0.506  0.00
Se: 0.601 0.250 0.886  0.12
Co: 0.766 0.250 0.782  2.17

Polymorph energy (0 for the lowest one) = 0.000 eV/atom
Space group = No. 62
Size of the total moment = 3.006 μB per formula unit
Density = 4.66 Mg/m³

Record 2
Computed, not measured: crystalline Gd3Ni4Ge at its relaxed geometry at the GGA-PBE level of DFT.

Cell lengths 5.246, 4.155, 6.726 Å; angles 90.00, 94.62, 90.00 degrees
Element x y z (fractional)
Ni: 0.400 0.500 0.982
Gd: 0.165 0.000 0.184
Gd: 0.868 0.500 0.806
Ge: 0.621 0.500 0.335
Gd: 0.370 0.000 0.671
Ni: 0.650 0.000 0.095
Ni: 0.818 0.000 0.476
Ni: 0.108 0.500 0.451

E_tot = -0.4049 Ry/atom
Space group = No. 6
Size of the total moment = 0.000 μB per formula unit
Density = 8.85 Mg/m³